7
Lattice="3.637 -2.095 0.000 3.637 2.095 0.000 -2.395 0.000 7.013" Properties=species:S:1:pos:R:3 comment="HfZn2Ga2Cu2 (PBE, optimized geometry)" formation_energy_mev_per_atom=-152 magmom_total_mub_per_atom=0.0000 crystal_system=monoclinic spacegroup="C2/m, No. 12" dos_at_fermi_per_ev_cell=1.967 pbc="T T T"
Hf 0.000 0.000 0.000
Zn 2.430 0.000 2.064
Zn 2.450 0.000 4.950
Ga 0.028 0.000 5.520
Ga 4.852 0.000 1.493
Cu 0.012 0.000 2.909
Cu 4.868 0.000 4.104